Cu6IrAu | PBE | optimized geometry

Cell lengths 4.8214, 4.8214, 7.3450 Å; angles 70.84, 70.84, 60.00 degrees
Closest atoms and distances in Å follow each position.
Element x y z (fractional)
Cu: 0.0598 0.0598 0.3214  5 Cu 2.41-2.43, 1 Au 2.59
Cu: 0.0598 0.5590 0.3214  5 Cu 2.41-2.43, 1 Au 2.59
Cu: 0.4410 0.9402 0.6786  5 Cu 2.41-2.43, 1 Au 2.59
Cu: 0.9402 0.4410 0.6786  5 Cu 2.41-2.43, 1 Au 2.59
Cu: 0.9402 0.9402 0.6786  5 Cu 2.41-2.43, 1 Au 2.59
Cu: 0.5590 0.0598 0.3214  5 Cu 2.41-2.43, 1 Au 2.59
Ir: 0.5000 0.5000 0.5000  12 Cu 2.70
Au: 0.0000 0.0000 0.0000  6 Cu 2.59

## Properties
total DFT energy (no corrections) = -33.15 eV for the cell shown
calculated volume = 136.8 Å³ per cell
DFT formation energy = 0.445 eV per atom

CuIrAu2 | PBE | optimized geometry

Cell lengths 2.8179, 2.8179, 7.9152 Å; angles 90.00, 90.00, 90.00 degrees
Closest atoms and distances in Å follow each position.
Element x y z (fractional)
Au: 0.0000 0.0000 0.9886  8 Au 2.82-3.01, 4 Ir 2.88
Au: 0.5000 0.5000 0.2734  4 Cu 2.74, 8 Au 2.82-3.01
Cu: 0.0000 0.0000 0.5119  4 Ir 2.62, 4 Au 2.74, 4 Cu 2.82
Ir: 0.5000 0.5000 0.7261  4 Cu 2.62, 4 Ir 2.82, 4 Au 2.88

## Properties
ΔE to the lowest computed polymorph = 7.5 kJ/mol of formula units
total DFT energy (no corrections) = -18.75 eV for the cell shown
calculated volume = 62.9 Å³ per cell
DFT formation energy = 0.192 eV per atom

CuIrAu2 | PBE | optimized geometry

Cell lengths 4.4834, 4.4834, 4.4834 Å; angles 60.00, 60.00, 60.00 degrees
Closest atoms and distances in Å follow each position.
Element x y z (fractional)
Ir: 0.5000 0.5000 0.5000  8 Au 2.75
Au: 0.2500 0.2500 0.2500  4 Ir 2.75, 4 Cu 2.75
Au: 0.7500 0.7500 0.7500  4 Ir 2.75, 4 Cu 2.75
Cu: 0.0000 0.0000 0.0000  8 Au 2.75

## Properties
ΔE to the lowest computed polymorph = 64.1 kJ/mol of formula units
total DFT energy (no corrections) = -18.16 eV for the cell shown
calculated volume = 63.7 Å³ per cell
DFT formation energy = 0.338 eV per atom